(1)
Material: NdDyMg6
Method: DFT, PBE
State: relaxed

abc: 5.205 7.383 5.206
angles: 90.00 90.00 90.00
Atoms (fractional coordinates):
1 Mg 0.000 0.754 0.246
2 Mg 0.000 0.500 0.747
3 Mg 0.500 0.246 0.754
4 Dy 0.000 0.000 0.746
5 Mg 0.500 0.754 0.754
6 Mg 0.500 0.000 0.253
7 Nd 0.500 0.500 0.254
8 Mg 0.000 0.246 0.246

Values from the calculation:
symmetry = Pmm2
total energy = -2.426 eV/atom

---

(2)
Material: ZrOs
Method: DFT, PBE
State: relaxed

abc: 5.129 6.149 4.605
angles: 90.00 90.00 90.00
Atoms (fractional coordinates):
1 Zr 0.958 0.962 0.000
2 Os 0.005 0.507 0.000
3 Os 0.829 0.743 0.500
4 Zr 0.458 0.288 0.000
5 Os 0.505 0.743 0.000
6 Zr 0.876 0.288 0.500
7 Zr 0.376 0.962 0.500
8 Os 0.329 0.507 0.500

Values from the calculation:
symmetry = Pbcm
calculated formation energy = -0.0168 eV per atom